# 1
Material: TaCrNi2
Method: DFT, PBEsol
State: relaxed

Summary:
- density of states at the Fermi level (states/eV/atom) = 0.9795
- energy relative to the lowest polymorph listed for this composition (meV/atom) = 80
- V (Å³/atom) = 12.32
- energy relative to the elements (eV/atom) = -0.0135

Cell: 2.6013 4.1576 4.5559 Å, 90.00 91.01 90.00°
Space group Pm (No. 6)
Symmetry-distinct sites (fractional):
Ta1 0.0000 0.0000 0.0000 [1 per cell]
Cr1 0.9640 0.5000 0.3592 [1 per cell]
Ni1 0.4822 0.5000 0.8213 [1 per cell]
Ni2 0.4883 0.0000 0.5001 [1 per cell]

# 2
Material: LaIn2Re
Method: DFT, PBEsol
State: relaxed

Summary:
- density of states at the Fermi level (states/eV/atom) = 0.9765
- energy relative to the lowest polymorph listed for this composition (meV/atom) = 0
- V (Å³/atom) = 23.04
- energy relative to the elements (eV/atom) = 0.2303

Cell: 3.4992 3.4999 7.5252 Å, 90.00 90.13 90.00°
Space group Pm (No. 6)
Symmetry-distinct sites (fractional):
La1 0.0000 0.0000 0.0000 [1 per cell]
In1 0.4987 0.5000 0.6618 [1 per cell]
In2 0.9980 0.0000 0.4191 [1 per cell]
Re1 0.4976 0.5000 0.2487 [1 per cell]

# 3
Material: MgAgRu2
Method: DFT, PBEsol
State: relaxed

Summary:
- density of states at the Fermi level (states/eV/atom) = 0.8245
- V (Å³/atom) = 14.96
- energy relative to the elements (eV/atom) = 0.2377

Cell: 8.8590 2.7857 4.9092 Å, 90.00 98.86 90.00°
Space group Cm (No. 8)
Symmetry-distinct sites (fractional):
Mg1 0.0000 0.0000 0.0000 [2 per cell]
Ag1 0.2534 0.5000 0.2079 [2 per cell]
Ru1 0.0054 0.5000 0.5236 [2 per cell]
Ru2 0.2440 0.0000 0.6894 [2 per cell]

# 4
Material: Mg2NiOs
Method: DFT, PBEsol
State: relaxed

Summary:
- density of states at the Fermi level (states/eV/atom) = 0.9397
- energy relative to the lowest polymorph listed for this composition (meV/atom) = 16
- V (Å³/atom) = 14.59
- energy relative to the elements (eV/atom) = 0.2450

Cell: 2.6619 4.0269 5.4448 Å, 90.00 90.00 90.00°
Space group Pmm2 (No. 25)
Symmetry-distinct sites (fractional):
Mg1 0.0000 0.0000 0.0000 [1 per cell]
Mg2 0.5000 0.5000 0.2892 [1 per cell]
Ni1 0.0000 0.0000 0.5328 [1 per cell]
Os1 0.5000 0.5000 0.7648 [1 per cell]

# 5
Material: SrAl9Ni2
Method: DFT, PBEsol
State: relaxed

Summary:
- density of states at the Fermi level (states/eV/atom) = 0.2910
- V (Å³/atom) = 17.39
- energy relative to the elements (eV/atom) = -0.3615

Cell: 7.8624 7.8624 3.8972 Å, 90.00 90.00 120.00°
Space group P6/mmm (No. 191)
Symmetry-distinct sites (fractional):
Sr1 0.0000 0.0000 0.0000 [1 per cell]
Al1 0.0000 0.5000 0.0000 [3 per cell]
Al2 0.2118 0.4236 0.5000 [6 per cell]
Ni1 0.3333 0.6667 0.0000 [2 per cell]

# 6
Material: ScMoCl2
Method: DFT, PBEsol
State: relaxed

Summary:
- formation energy from raw total energies (meV/atom) = -546.4
- density of states at the Fermi level (states/eV/atom) = 0.6431
- energy relative to the lowest polymorph listed for this composition (meV/atom) = 101
- V (Å³/atom) = 16.91

Cell: 3.0401 3.0401 25.3522 Å, 90.00 90.00 120.00°
Space group R-3m (No. 166, hexagonal axes)
Symmetry-distinct sites (fractional):
Sc1 0.0000 0.0000 0.0000 [3 per cell]
Mo1 0.0000 0.0000 0.5000 [3 per cell]
Cl1 0.0000 0.0000 0.4057 [6 per cell]

# 7
Material: NdS
Method: DFT, PBEsol
State: relaxed

Summary:
- formation energy from raw total energies (meV/atom) = -2123.1
- density of states at the Fermi level (states/eV/atom) = 0.4010
- V (Å³/atom) = 22.86

Cell: 5.6765 5.6765 5.6765 Å, 90.00 90.00 90.00°
Space group Fm-3m (No. 225)
Symmetry-distinct sites (fractional):
Nd1 0.0000 0.0000 0.0000 [4 per cell]
S1 0.0000 0.0000 0.5000 [4 per cell]

# 8
Material: Be2Co
Method: DFT, PBEsol
State: relaxed

Summary:
- density of states at the Fermi level (states/eV/atom) = 0.5259
- V (Å³/atom) = 8.34
- energy relative to the elements (eV/atom) = -0.2601

Cell: 3.2209 3.2209 19.2930 Å, 90.00 90.00 90.00°
Space group I4_1/amd (No. 141, origin choice 2)
Symmetry-distinct sites (fractional):
Be1 0.0000 0.2500 0.1243 [8 per cell]
Be2 0.0000 0.2500 0.2877 [8 per cell]
Co1 0.0000 0.2500 0.8015 [8 per cell]

# 9
Material: CeInCu2
Method: DFT, PBEsol
State: relaxed

Summary:
- density of states at the Fermi level (states/eV/atom) = 0.9117
- V (Å³/atom) = 18.14
- energy relative to the elements (eV/atom) = -0.2265

Cell: 6.6207 6.6207 6.6207 Å, 90.00 90.00 90.00°
Space group Fm-3m (No. 225)
Symmetry-distinct sites (fractional):
Ce1 0.0000 0.0000 0.0000 [4 per cell]
In1 0.0000 0.0000 0.5000 [4 per cell]
Cu1 0.2500 0.2500 0.2500 [8 per cell]

# 10
Material: LaCd2SiPd
Method: DFT, PBEsol
State: relaxed

Summary:
- formation energy from raw total energies (meV/atom) = -106.7
- density of states at the Fermi level (states/eV/atom) = 0.5137
- V (Å³/atom) = 23.09

Cell: 5.0047 5.0047 4.6094 Å, 90.00 90.00 90.00°
Space group P4/mmm (No. 123)
Symmetry-distinct sites (fractional):
La1 0.0000 0.0000 0.0000 [1 per cell]
Cd1 0.0000 0.5000 0.5000 [2 per cell]
Si1 0.5000 0.5000 0.5000 [1 per cell]
Pd1 0.5000 0.5000 0.0000 [1 per cell]

# 11
Material: K2ErCuCl6
Method: DFT, PBEsol
State: relaxed

Summary:
- formation energy from raw total energies (meV/atom) = -1740.9
- density of states at the Fermi level (states/eV/atom) = 0.0000
- V (Å³/atom) = 25.48

Cell: 10.0632 10.0632 10.0632 Å, 90.00 90.00 90.00°
Space group Fm-3m (No. 225)
Symmetry-distinct sites (fractional):
K1 0.2500 0.2500 0.2500 [8 per cell]
Er1 0.0000 0.0000 0.0000 [4 per cell]
Cu1 0.0000 0.0000 0.5000 [4 per cell]
Cl1 0.0000 0.0000 0.2553 [24 per cell]

# 12
Material: LiCaRu2
Method: DFT, PBEsol
State: relaxed

Summary:
- density of states at the Fermi level (states/eV/atom) = 0.9625
- energy relative to the lowest polymorph listed for this composition (meV/atom) = 215
- V (Å³/atom) = 15.88
- energy relative to the elements (eV/atom) = 0.5141

Cell: 4.9682 9.0980 2.8105 Å, 90.00 90.00 90.00°
Space group Cmmm (No. 65)
Symmetry-distinct sites (fractional):
Li1 0.0000 0.0000 0.0000 [2 per cell]
Ca1 0.0000 0.5000 0.0000 [2 per cell]
Ru1 0.2500 0.2500 0.5000 [4 per cell]

# 13
Material: LiY2Re
Method: DFT, PBEsol
State: relaxed

Summary:
- density of states at the Fermi level (states/eV/atom) = 0.7966
- V (Å³/atom) = 24.18
- energy relative to the elements (eV/atom) = 0.3702

Cell: 3.3534 3.3534 29.7944 Å, 90.00 90.00 120.00°
Space group R-3m (No. 166, hexagonal axes)
Symmetry-distinct sites (fractional):
Li1 0.0000 0.0000 0.0000 [3 per cell]
Y1 0.0000 0.0000 0.2355 [6 per cell]
Re1 0.0000 0.0000 0.5000 [3 per cell]

# 14
Material: MnTl2Ir
Method: DFT, PBEsol
State: relaxed

Summary:
- density of states at the Fermi level (states/eV/atom) = 0.5921
- energy relative to the lowest polymorph listed for this composition (meV/atom) = 206
- V (Å³/atom) = 18.13
- energy relative to the elements (eV/atom) = 0.5379

Cell: 4.0644 4.0644 8.7782 Å, 90.00 90.00 90.00°
Space group I-4m2 (No. 119)
Symmetry-distinct sites (fractional):
Mn1 0.0000 0.0000 0.0000 [2 per cell]
Tl1 0.0000 0.0000 0.5000 [2 per cell]
Tl2 0.0000 0.5000 0.2500 [2 per cell]
Ir1 0.0000 0.5000 0.7500 [2 per cell]

# 15
Material: ScAu3
Method: DFT, PBEsol
State: relaxed

Summary:
- density of states at the Fermi level (states/eV/atom) = 0.5331
- V (Å³/atom) = 17.49
- energy relative to the elements (eV/atom) = -0.6186

Cell: 5.8373 5.8373 4.7419 Å, 90.00 90.00 120.00°
Space group P6_3/mmc (No. 194)
Symmetry-distinct sites (fractional):
Sc1 0.3333 0.6667 0.2500 [2 per cell]
Au1 0.1668 0.3337 0.7500 [6 per cell]

# 16
Material: AlFe6W
Method: DFT, PBEsol
State: relaxed

Summary:
- density of states at the Fermi level (states/eV/atom) = 0.9775
- V (Å³/atom) = 11.43
- energy relative to the elements (eV/atom) = -0.0390

Cell: 7.1397 10.1231 10.1216 Å, 90.00 90.00 90.00°
Space group Cmmm (No. 65)
Symmetry-distinct sites (fractional):
Al1 0.0000 0.0000 0.2453 [4 per cell]
Al2 0.0000 0.2532 0.5000 [4 per cell]
Fe1 0.0000 0.0000 0.0000 [2 per cell]
Fe2 0.0000 0.0000 0.5000 [2 per cell]
Fe3 0.0000 0.2497 0.2507 [8 per cell]
Fe4 0.0000 0.5000 0.0000 [2 per cell]
Fe5 0.0000 0.5000 0.5000 [2 per cell]
Fe6 0.2458 0.1255 0.3757 [16 per cell]
Fe7 0.2499 0.1248 0.1244 [16 per cell]
W1 0.0000 0.2533 0.0000 [4 per cell]
W2 0.0000 0.5000 0.2444 [4 per cell]

# 17
Material: Sc2NiPb
Method: DFT, PBEsol
State: relaxed

Summary:
- density of states at the Fermi level (states/eV/atom) = 0.9981
- V (Å³/atom) = 20.97
- energy relative to the elements (eV/atom) = -0.2972

Cell: 3.4552 3.4552 24.3358 Å, 90.00 90.00 120.00°
Space group R-3m (No. 166, hexagonal axes)
Symmetry-distinct sites (fractional):
Sc1 0.0000 0.0000 0.2300 [6 per cell]
Ni1 0.0000 0.0000 0.5000 [3 per cell]
Pb1 0.0000 0.0000 0.0000 [3 per cell]

# 18
Material: MgCdPb2
Method: DFT, PBEsol
State: relaxed

Summary:
- density of states at the Fermi level (states/eV/atom) = 0.4291
- energy relative to the lowest polymorph listed for this composition (meV/atom) = 13
- V (Å³/atom) = 25.65
- energy relative to the elements (eV/atom) = -0.0146

Cell: 11.3796 3.3675 5.5599 Å, 90.00 105.61 90.00°
Space group Cm (No. 8)
Symmetry-distinct sites (fractional):
Mg1 0.0000 0.0000 0.0000 [2 per cell]
Cd1 0.2811 0.0000 0.7029 [2 per cell]
Pb1 0.0259 0.5000 0.5159 [2 per cell]
Pb2 0.2515 0.5000 0.1806 [2 per cell]

# 19
Material: CsBaHf2Hg
Method: DFT, PBEsol
State: relaxed

Summary:
- density of states at the Fermi level (states/eV/atom) = 1.0804
- V (Å³/atom) = 39.24
- energy relative to the elements (eV/atom) = 1.7446

Cell: 5.4500 5.4500 6.6059 Å, 90.00 90.00 90.00°
Space group P4/mmm (No. 123)
Symmetry-distinct sites (fractional):
Cs1 0.0000 0.0000 0.0000 [1 per cell]
Ba1 0.0000 0.0000 0.5000 [1 per cell]
Hf1 0.0000 0.5000 0.5000 [2 per cell]
Hg1 0.5000 0.5000 0.0000 [1 per cell]

# 20
Material: KHgAu
Method: DFT, PBEsol
State: relaxed

Summary:
- density of states at the Fermi level (states/eV/atom) = 0.2691
- energy relative to the lowest polymorph listed for this composition (meV/atom) = 0
- V (Å³/atom) = 27.88
- energy relative to the elements (eV/atom) = -0.1980

Cell: 4.8281 4.8281 4.1431 Å, 90.00 90.00 120.00°
Space group P-6m2 (No. 187)
Symmetry-distinct sites (fractional):
K1 0.0000 0.0000 0.0000 [1 per cell]
Hg1 0.3333 0.6667 0.5000 [1 per cell]
Au1 0.6667 0.3333 0.5000 [1 per cell]

# 21
Material: ScPt2Rh
Method: DFT, PBEsol
State: relaxed

Summary:
- density of states at the Fermi level (states/eV/atom) = 0.7180
- V (Å³/atom) = 15.22
- energy relative to the elements (eV/atom) = -0.7381

Cell: 5.4951 7.6793 2.8855 Å, 90.00 90.00 90.00°
Space group Cmmm (No. 65)
Symmetry-distinct sites (fractional):
Sc1 0.0000 0.0000 0.0000 [2 per cell]
Pt1 0.2500 0.2500 0.5000 [4 per cell]
Rh1 0.0000 0.5000 0.0000 [2 per cell]

# 22
Material: Ca10Si3S3Cl2O24
Method: DFT, PBEsol
State: relaxed

Summary:
- formation energy from raw total energies (meV/atom) = -2677.1
- density of states at the Fermi level (states/eV/atom) = 0.0000
- V (Å³/atom) = 13.06

Cell: 9.6292 6.7319 9.7031 Å, 90.00 119.27 90.00°
Space group Pm (No. 6)
Symmetry-distinct sites (fractional):
Ca1 0.0000 0.0000 0.0000 [1 per cell]
Ca2 0.0058 0.5000 0.5321 [1 per cell]
Ca3 0.2518 0.5000 0.2212 [1 per cell]
Ca4 0.2930 0.0000 0.5129 [1 per cell]
Ca5 0.3704 0.2542 0.9454 [2 per cell]
Ca6 0.7018 0.2594 0.6109 [2 per cell]
Ca7 0.7584 0.0000 0.2276 [1 per cell]
Ca8 0.7690 0.5000 0.0149 [1 per cell]
Si1 0.0677 0.5000 0.8803 [1 per cell]
Si2 0.6214 0.5000 0.2320 [1 per cell]
Si3 0.6422 0.0000 0.8430 [1 per cell]
S1 0.3986 0.5000 0.6627 [1 per cell]
S2 0.4463 0.0000 0.2997 [1 per cell]
S3 0.9955 0.0000 0.6341 [1 per cell]
Cl1 0.0325 0.2471 0.2706 [2 per cell]
O1 0.1204 0.3024 0.9951 [2 per cell]
O2 0.1695 0.0000 0.7397 [1 per cell]
O3 0.1786 0.5000 0.7933 [1 per cell]
O4 0.2963 0.3216 0.6073 [2 per cell]
O5 0.3871 0.1784 0.3449 [2 per cell]
O6 0.3921 0.0000 0.1286 [1 per cell]
O7 0.4257 0.5000 0.1367 [1 per cell]
O8 0.4888 0.5000 0.8389 [1 per cell]
O9 0.5115 0.5000 0.5994 [1 per cell]
O10 0.5127 0.0000 0.9058 [1 per cell]
O11 0.5549 0.0000 0.6472 [1 per cell]
O12 0.6246 0.0000 0.3894 [1 per cell]
O13 0.6670 0.3066 0.1587 [2 per cell]
O14 0.7038 0.5000 0.4243 [1 per cell]
O15 0.7603 0.1955 0.8977 [2 per cell]
O16 0.8826 0.5000 0.7417 [1 per cell]
O17 0.9076 0.0000 0.7254 [1 per cell]
O18 0.9419 0.1756 0.5295 [2 per cell]

# 23
Material: CaScPb2
Method: DFT, PBEsol
State: relaxed

Summary:
- density of states at the Fermi level (states/eV/atom) = 0.9761
- V (Å³/atom) = 27.68
- energy relative to the elements (eV/atom) = -0.2115

Cell: 4.1875 4.1875 6.3132 Å, 90.00 90.00 90.00°
Space group P4mm (No. 99)
Symmetry-distinct sites (fractional):
Ca1 0.0000 0.0000 0.0000 [1 per cell]
Sc1 0.5000 0.5000 0.6772 [1 per cell]
Pb1 0.0000 0.0000 0.5175 [1 per cell]
Pb2 0.5000 0.5000 0.2121 [1 per cell]

# 24
Material: TcHgTe
Method: DFT, PBEsol
State: relaxed

Summary:
- formation energy from raw total energies (meV/atom) = 464.0
- density of states at the Fermi level (states/eV/atom) = 0.8915
- V (Å³/atom) = 21.54

Cell: 6.3697 6.3697 6.3697 Å, 90.00 90.00 90.00°
Space group F-43m (No. 216)
Symmetry-distinct sites (fractional):
Tc1 0.0000 0.0000 0.0000 [4 per cell]
Hg1 0.2500 0.2500 0.2500 [4 per cell]
Te1 0.2500 0.2500 0.7500 [4 per cell]